Entry from Alexandria via LeMat-Bulk: a relaxed Tb7HoAl5 crystal (PBE).

- DOS at the Fermi energy: 12.351 states/eV per cell
- ρ: 6.9 g/cm³
- DFT total energy: -58.53 eV per formula unit
- E_form: -0.217 eV/atom
- Symmetry: Imm2 (44)

abc: 8.039 8.039 8.039
angles: 135.11 100.42 96.35
Fractional positions:
1 Tb 0.000 0.000 0.000
2 Tb 0.016 0.680 0.336
3 Tb 0.335 0.335 0.000
4 Tb 0.345 0.680 0.664
5 Tb 0.472 0.164 0.308
6 Tb 0.857 0.164 0.692
7 Tb 0.897 0.397 0.500
8 Ho 0.659 0.659 0.000
9 Al 0.186 0.179 0.512
10 Al 0.186 0.674 0.007
11 Al 0.431 0.931 0.500
12 Al 0.667 0.179 0.993
13 Al 0.667 0.674 0.488